BaBeNb2Te | PBE-GGA | relaxed

## Properties
* total energy: -3.14 eV per atom
* formation energy without anion corrections: 2.64 eV per atom

a b c (Å): 5.1511 6.1619 5.1511
angles (deg): 90.00 90.00 90.00
Fractional positions:
Nb1 0.5000 0.0000 0.0000
Nb2 0.0000 0.0000 0.5000
Ba1 0.0000 0.0000 0.0000
Te1 0.0000 0.5000 0.0000
Be1 0.5000 0.5000 0.5000